(1)
Ni3HgBi: optimized geometry, PBE.

Values from the calculation:
Its formation energy from the elements is 23.46 kcal/mol of atoms.

Cell lengths 4.7397, 4.7397, 4.7397 Å; angles 90.00, 90.00, 90.00 degrees
Last column: nearest neighbours and their distance in Å.
Space group Pm-3m (No. 221)
Asymmetric unit:
Ni: 0.0000 0.0000 0.5000 (multiplicity 3)  2 Hg 2.37
Hg: 0.0000 0.0000 0.0000 (multiplicity 1)  6 Ni 2.37
Bi: 0.5000 0.5000 0.5000 (multiplicity 1)  12 Ni 3.35

(2)
Ni2Hg2Bi: optimized geometry, PBE.

Values from the calculation:
Its formation energy from the elements is 7.28 kcal/mol of atoms.

Cell lengths 4.0323, 4.0323, 12.2002 Å; angles 90.00, 90.00, 90.00 degrees
Last column: nearest neighbours and their distance in Å.
Space group I4/mmm (No. 139)
Asymmetric unit:
Ni: 0.0000 0.0000 0.0961 (multiplicity 4)  1 Ni 2.34
Hg: 0.0000 0.5000 0.2500 (multiplicity 4)  4 Ni 2.76, 4 Hg 2.85
Bi: 0.0000 0.0000 0.5000 (multiplicity 2)  8 Ni 3.08

(3)
NiHg2Bi2: optimized geometry, PBE.

Values from the calculation:
Its formation energy from the elements is 4.34 kcal/mol of atoms.

Cell lengths 6.9141, 6.9141, 5.6580 Å; angles 90.00, 90.00, 90.00 degrees
Last column: nearest neighbours and their distance in Å.
Space group P4/mbm (No. 127)
Asymmetric unit:
Ni: 0.0000 0.0000 0.0000 (multiplicity 2)  4 Bi 2.59
Hg: 0.1766 0.3234 0.5000 (multiplicity 4)  2 Bi 3.24, 5 Hg 3.45-3.60
Bi: 0.1620 0.6620 0.0000 (multiplicity 4)  2 Ni 2.59

(4)
NiHgBi3: optimized geometry, PBE.

Values from the calculation:
Its formation energy from the elements is 6.33 kcal/mol of atoms.

Cell lengths 5.2228, 5.2228, 5.2228 Å; angles 90.00, 90.00, 90.00 degrees
Last column: nearest neighbours and their distance in Å.
Space group Pm-3m (No. 221)
Asymmetric unit:
Ni: 0.0000 0.0000 0.0000 (multiplicity 1)  6 Bi 2.61
Hg: 0.5000 0.5000 0.5000 (multiplicity 1)  12 Bi 3.69
Bi: 0.0000 0.0000 0.5000 (multiplicity 3)  2 Ni 2.61

(5)
NiHgBi2Pb: optimized geometry, PBE.

Values from the calculation:
Its formation energy from the elements is 3.87 kcal/mol of atoms.

Cell lengths 5.2637, 5.2637, 5.0303 Å; angles 90.00, 90.00, 90.00 degrees
Last column: nearest neighbours and their distance in Å.
Space group P4/mmm (No. 123)
Asymmetric unit:
Ni: 0.0000 0.0000 0.0000 (multiplicity 1)  2 Hg 2.52, 4 Bi 2.63
Hg: 0.0000 0.0000 0.5000 (multiplicity 1)  2 Ni 2.52
Bi: 0.0000 0.5000 0.0000 (multiplicity 2)  2 Ni 2.63
Pb: 0.5000 0.5000 0.5000 (multiplicity 1)  8 Bi 3.64, 4 Hg 3.72

(6)
NiHgBiPb2: optimized geometry, PBE.

Values from the calculation:
Its formation energy from the elements is 3.52 kcal/mol of atoms.

Cell lengths 5.1925, 5.1925, 5.2520 Å; angles 90.00, 90.00, 90.00 degrees
Last column: nearest neighbours and their distance in Å.
Space group P4/mmm (No. 123)
Asymmetric unit:
Ni: 0.0000 0.0000 0.0000 (multiplicity 1)  4 Pb 2.60, 2 Bi 2.63
Hg: 0.5000 0.5000 0.5000 (multiplicity 1)  4 Bi 3.67, 8 Pb 3.69
Bi: 0.0000 0.0000 0.5000 (multiplicity 1)  2 Ni 2.63
Pb: 0.0000 0.5000 0.0000 (multiplicity 2)  2 Ni 2.60

(7)
NiHgBiPb2: optimized geometry, PBE.

Values from the calculation:
Its formation energy from the elements is 3.50 kcal/mol of atoms.

Cell lengths 5.2213, 5.2213, 5.0613 Å; angles 90.00, 90.00, 90.00 degrees
Last column: nearest neighbours and their distance in Å.
Space group P4/mmm (No. 123)
Asymmetric unit:
Ni: 0.0000 0.0000 0.0000 (multiplicity 1)  2 Hg 2.53, 4 Pb 2.61
Hg: 0.0000 0.0000 0.5000 (multiplicity 1)  2 Ni 2.53
Bi: 0.5000 0.5000 0.5000 (multiplicity 1)  8 Pb 3.64, 4 Hg 3.69
Pb: 0.0000 0.5000 0.0000 (multiplicity 2)  2 Ni 2.61

(8)
NiHg2BiPb: optimized geometry, PBE.

Values from the calculation:
Its formation energy from the elements is 13.60 kcal/mol of atoms.

Cell lengths 5.8087, 5.8087, 4.8306 Å; angles 90.00, 90.00, 90.00 degrees
Last column: nearest neighbours and their distance in Å.
Space group P4/mmm (No. 123)
Asymmetric unit:
Ni: 0.0000 0.0000 0.0000 (multiplicity 1)  2 Bi 2.42
Hg: 0.0000 0.5000 0.5000 (multiplicity 2)  2 Bi 2.90
Bi: 0.0000 0.0000 0.5000 (multiplicity 1)  2 Ni 2.42
Pb: 0.5000 0.5000 0.0000 (multiplicity 1)  8 Hg 3.78, 4 Ni 4.11

Q: Which of these has the lowest formation energy from the elements?
A: number 7

What did the fifth record say?
NiHgBi2Pb: optimized geometry, PBE.

Values from the calculation:
Its formation energy from the elements is 3.87 kcal/mol of atoms.

Cell lengths 5.2637, 5.2637, 5.0303 Å; angles 90.00, 90.00, 90.00 degrees
Last column: nearest neighbours and their distance in Å.
Space group P4/mmm (No. 123)
Asymmetric unit:
Ni: 0.0000 0.0000 0.0000 (multiplicity 1)  2 Hg 2.52, 4 Bi 2.63
Hg: 0.0000 0.0000 0.5000 (multiplicity 1)  2 Ni 2.52
Bi: 0.0000 0.5000 0.0000 (multiplicity 2)  2 Ni 2.63
Pb: 0.5000 0.5000 0.5000 (multiplicity 1)  8 Bi 3.64, 4 Hg 3.72

Q: The highest formation energy from the elements belongs to which entry?
A: Ni3HgBi

Q: Which of these has the highest formation energy from the elements?
A: Ni3HgBi